Computed, not measured: crystalline CsHg3Pt at its relaxed geometry at the PBE level of DFT.

abc: 5.8974 15.2729 6.9681
angles: 90.00 90.00 90.00
Space group Imma (No. 74)
Symmetry-distinct sites (fractional):
Cs  0.0000  0.0000  0.0000 [4 per cell]
Hg  0.0000  0.1423  0.4866 [8 per cell]
Hg  0.0000  0.2500  0.0982 [4 per cell]
Pt  0.2500  0.2500  0.7500 [4 per cell]

Calculated values
- raw total energy (eV/f.u.) = -8.476
- formation energy from the elements (eV/atom) = -0.1352
- crystal system = orthorhombic
- size of the total moment (μB per atom) = 0.000
- E above lowest polymorph (kJ/mol of formula units) = 80.8